## NpFe2Co (PBE)

Data for NpFe2Co after structural relaxation.

Lattice parameters (Å, degrees): 3.7681 3.7829 3.7829 90.00 90.00 90.00
Site moments in Bohr magnetons follow the coordinates.
Atoms (fractional coordinates):
Np1 0.5000 0.5000 0.5000  -3.00
Co1 0.5000 0.0000 0.0000  0.95
Fe1 0.0000 0.0000 0.5000  1.83
Fe2 0.0000 0.5000 0.0000  1.83

Computed properties:
E_form in kJ/mol of formula units: -15
Electronic total energy in eV/atom: -9.282